[1]
# LiYIr3 PBE-GGA optimized geometry
# * DFT total energy: -34.49 eV/cell
# * ΔH_f (0 K): 0.09 eV per atom
# * N(E_F): 3.68 states/eV/f.u.
data_LiYIr3
_cell_length_a 4.292
_cell_length_b 4.292
_cell_length_c 4.292
_cell_angle_alpha 90.00
_cell_angle_beta 90.00
_cell_angle_gamma 90.00
_symmetry_space_group_name_H-M 'P 1'
_symmetry_Int_Tables_number 1
_symmetry_space_group_name_Hall 'P 1'
loop_
_atom_site_label
_atom_site_type_symbol
_atom_site_fract_x
_atom_site_fract_y
_atom_site_fract_z
Y1 Y 0.500 0.500 0.500
Ir1 Ir 0.000 0.500 0.000
Ir2 Ir 0.000 0.000 0.500
Ir3 Ir 0.500 0.000 0.000
Li1 Li 0.000 0.000 0.000

[2]
# LiY2Ir2 PBE-GGA optimized geometry
# * DFT total energy: -70.49 eV/cell
# * ΔH_f (0 K): -0.54 eV per atom
# * N(E_F): 2.80 states/eV/f.u.
data_LiY2Ir2
_cell_length_a 7.403
_cell_length_b 7.403
_cell_length_c 3.864
_cell_angle_alpha 90.00
_cell_angle_beta 90.00
_cell_angle_gamma 90.00
_symmetry_space_group_name_H-M 'P 1'
_symmetry_Int_Tables_number 1
_symmetry_space_group_name_Hall 'P 1'
loop_
_atom_site_label
_atom_site_type_symbol
_atom_site_fract_x
_atom_site_fract_y
_atom_site_fract_z
Y1 Y 0.170 0.670 0.500
Y2 Y 0.670 0.830 0.500
Y3 Y 0.830 0.330 0.500
Y4 Y 0.330 0.170 0.500
Ir1 Ir 0.371 0.871 0.000
Ir2 Ir 0.871 0.629 0.000
Ir3 Ir 0.629 0.129 0.000
Ir4 Ir 0.129 0.371 0.000
Li1 Li 0.000 0.000 0.000
Li2 Li 0.500 0.500 0.000

[3]
# Li2YIr PBE-GGA optimized geometry
# * DFT total energy: -19.90 eV/cell
# * ΔH_f (0 K): -0.19 eV per atom
# * N(E_F): 1.57 states/eV/f.u.
data_Li2YIr
_cell_length_a 4.912
_cell_length_b 3.299
_cell_length_c 4.687
_cell_angle_alpha 85.47
_cell_angle_beta 90.00
_cell_angle_gamma 90.00
_symmetry_space_group_name_H-M 'P 1'
_symmetry_Int_Tables_number 1
_symmetry_space_group_name_Hall 'P 1'
loop_
_atom_site_label
_atom_site_type_symbol
_atom_site_fract_x
_atom_site_fract_y
_atom_site_fract_z
Ir1 Ir 0.500 0.750 0.750
Li1 Li 0.000 0.951 0.948
Li2 Li 0.000 0.549 0.552
Y1 Y 0.500 0.250 0.250